1.
A geometry-optimized Dy4AlZn2Ag structure. Source: Alexandria, functional PBE-GGA.

Cell and atoms, written as extended XYZ:
```
8
Lattice="2.540 1.466 8.333 -2.540 1.466 8.333 0.000 -2.933 8.333" Properties=species:S:1:pos:R:3 pbc="T T T"
Dy 0.000 0.000 3.107
Dy 0.000 0.000 9.360
Dy 0.000 0.000 15.640
Dy 0.000 0.000 21.893
Al 0.000 0.000 0.000
Zn 0.000 0.000 6.297
Zn 0.000 0.000 18.703
Ag 0.000 0.000 12.500
```

Values from the calculation:
final energy = -3.794 eV/atom
crystal system = trigonal
symmetry = R-3m
magnetic moment = 0.000 μB/f.u.
energy of formation = -0.3498 eV per atom
volume = 186.25 Å³/cell

***

2.
A geometry-optimized DyZrAlAg structure. Source: Alexandria, functional PBE-GGA.

Cell and atoms, written as extended XYZ:
```
16
Lattice="7.064 0.000 0.000 0.000 7.064 0.000 0.000 0.000 7.064" Properties=species:S:1:pos:R:3 pbc="T T T"
Dy 0.000 0.000 0.000
Dy 0.000 3.532 3.532
Dy 3.532 0.000 3.532
Dy 3.532 3.532 0.000
Zr 0.000 0.000 3.532
Zr 0.000 3.532 0.000
Zr 3.532 0.000 0.000
Zr 3.532 3.532 3.532
Al 1.766 1.766 1.766
Al 1.766 5.298 5.298
Al 5.298 1.766 5.298
Al 5.298 5.298 1.766
Ag 1.766 1.766 5.298
Ag 1.766 5.298 1.766
Ag 5.298 1.766 1.766
Ag 5.298 5.298 5.298
```

Values from the calculation:
final energy = -5.142 eV/atom
crystal system = cubic
symmetry = F-43m
magnetic moment = 0.807 μB/f.u.
energy of formation = -0.2063 eV per atom
volume = 352.48 Å³/cell

***

- What is the volume in the first record?
  186.25 Å³/cell

***

- Among the records above, which one has the highest final energy?
  Dy4AlZn2Ag